# 1
Density functional theory data (PBE) for an optimized crystal structure of MoRuCl2.

Geometry as CIF:
```
data_MoRuCl2
_chemical_formula_sum 'Mo1 Ru1 Cl2'
_cell_length_a 2.8962
_cell_length_b 5.3448
_cell_length_c 4.2013
_cell_angle_alpha 90.00
_cell_angle_beta 90.00
_cell_angle_gamma 90.00
_space_group_name_H-M_alt 'P 1'
_space_group_IT_number 1
loop_
_space_group_symop_operation_xyz
'x,y,z'
loop_
_atom_site_label
_atom_site_type_symbol
_atom_site_fract_x
_atom_site_fract_y
_atom_site_fract_z
Mo1 Mo 0.5000 0.0000 0.5000
Cl1 Cl 0.0000 0.0000 0.0000
Cl2 Cl 0.5000 0.5000 0.0000
Ru1 Ru 0.0000 0.5000 0.5000
```

Results
The energy above the most stable polymorph in this dataset comes out at 891 meV per atom. As for the total energy: -21.21 eV for the cell shown. The spin magnetization is 1.43 μB/f.u. As for the raw formation energy: 0.65 eV/atom. The symmetry is Pmmm, No. 47.

---

# 2
Density functional theory data (PBE) for an optimized crystal structure of SrCuS3.

Geometry as CIF:
```
data_SrCuS3
_chemical_formula_sum 'Sr1 Cu1 S3'
_cell_length_a 5.4649
_cell_length_b 5.4649
_cell_length_c 5.4649
_cell_angle_alpha 90.00
_cell_angle_beta 90.00
_cell_angle_gamma 90.00
_space_group_name_H-M_alt 'P 1'
_space_group_IT_number 1
loop_
_space_group_symop_operation_xyz
'x,y,z'
loop_
_atom_site_label
_atom_site_type_symbol
_atom_site_fract_x
_atom_site_fract_y
_atom_site_fract_z
S1 S 0.0000 0.0000 0.5000
S2 S 0.0000 0.5000 0.0000
S3 S 0.5000 0.0000 0.0000
Cu1 Cu 0.5000 0.5000 0.5000
Sr1 Sr 0.0000 0.0000 0.0000
```

Results
The energy above the most stable polymorph in this dataset comes out at 1306 meV per atom. As for the total energy: -14.65 eV for the cell shown. The spin magnetization is 0.00 μB/f.u. As for the raw formation energy: 0.70 eV/atom. The symmetry is Pm-3m, No. 221.

---

# 3
Density functional theory data (PBE) for an optimized crystal structure of Nd5SmTm4.

Geometry as CIF:
```
data_Nd5SmTm4
_chemical_formula_sum 'Nd5 Sm1 Tm4'
_cell_length_a 3.6058
_cell_length_b 10.1678
_cell_length_c 9.4969
_cell_angle_alpha 106.07
_cell_angle_beta 100.92
_cell_angle_gamma 89.99
_space_group_name_H-M_alt 'P 1'
_space_group_IT_number 1
loop_
_space_group_symop_operation_xyz
'x,y,z'
loop_
_atom_site_label
_atom_site_type_symbol
_atom_site_fract_x
_atom_site_fract_y
_atom_site_fract_z
Tm1 Tm 0.8990 0.7033 0.7974
Tm2 Tm 0.1010 0.2967 0.2026
Tm3 Tm 0.2999 0.9001 0.6006
Tm4 Tm 0.7001 0.0999 0.3994
Nd1 Nd 0.8990 0.1954 0.7982
Nd2 Nd 0.1010 0.8046 0.2018
Nd3 Nd 0.5000 0.5000 0.0000
Nd4 Nd 0.6995 0.6007 0.4006
Nd5 Nd 0.3005 0.3993 0.5994
Sm1 Sm 0.5000 0.0000 0.0000
```

Results
The energy above the most stable polymorph in this dataset comes out at 0 meV per atom. As for the total energy: -46.26 eV for the cell shown. The spin magnetization is 0.00 μB/f.u. The formation energy comes out at 18.8 meV/atom. The symmetry is C2/m, No. 12.

---

| no. | mass density (g/cm3) |
| --- | --- |
| 1 | 6.8 |
| 2 | 2.5 |
| 3 | 7.8 |